Arrangement one

A geometry-optimized RbScBe3 structure. Source: Alexandria, functional PBE.

The structure in CIF format:
```
data_RbScBe3
_space_group_name_H-M_alt 'P 1'
_space_group_IT_number 1
_space_group_name_Hall 'P 1'
_cell_length_a 4.869
_cell_length_b 4.869
_cell_length_c 4.869
_cell_angle_alpha 90.00
_cell_angle_beta 90.00
_cell_angle_gamma 90.00
loop_
_atom_site_label
_atom_site_type_symbol
_atom_site_fract_x
_atom_site_fract_y
_atom_site_fract_z
Be1 Be 0.500 0.000 0.000
Be2 Be 0.000 0.000 0.500
Be3 Be 0.000 0.500 0.000
Rb1 Rb 0.000 0.000 0.000
Sc1 Sc 0.500 0.500 0.500
```

Summary:
The space-group type is No. 221.


Arrangement two

A geometry-optimized RbScBe3 structure. Source: Alexandria, functional PBE.

The structure in CIF format:
```
data_RbScBe3
_space_group_name_H-M_alt 'P 1'
_space_group_IT_number 1
_space_group_name_Hall 'P 1'
_cell_length_a 5.240
_cell_length_b 5.240
_cell_length_c 5.240
_cell_angle_alpha 90.00
_cell_angle_beta 90.00
_cell_angle_gamma 90.00
loop_
_atom_site_label
_atom_site_type_symbol
_atom_site_fract_x
_atom_site_fract_y
_atom_site_fract_z
Be1 Be 0.500 0.000 0.000
Be2 Be 0.000 0.000 0.500
Be3 Be 0.000 0.500 0.000
Sc1 Sc 0.000 0.000 0.000
Rb1 Rb 0.500 0.500 0.500
```

Summary:
The space-group type is No. 221.


arrangement two is favored, and the nearest alternative lies 735 meV/atom above it.


Arrangement one

A geometry-optimized RbSc3Be structure. Source: Alexandria, functional PBE.

The structure in CIF format:
```
data_RbSc3Be
_space_group_name_H-M_alt 'P 1'
_space_group_IT_number 1
_space_group_name_Hall 'P 1'
_cell_length_a 5.164
_cell_length_b 5.164
_cell_length_c 5.164
_cell_angle_alpha 90.00
_cell_angle_beta 90.00
_cell_angle_gamma 90.00
loop_
_atom_site_label
_atom_site_type_symbol
_atom_site_fract_x
_atom_site_fract_y
_atom_site_fract_z
Sc1 Sc 0.000 0.500 0.000
Sc2 Sc 0.000 0.000 0.500
Sc3 Sc 0.500 0.000 0.000
Rb1 Rb 0.500 0.500 0.500
Be1 Be 0.000 0.000 0.000
```

Summary:
The space-group type is No. 221.


Arrangement two

A geometry-optimized RbSc3Be structure. Source: Alexandria, functional PBE.

The structure in CIF format:
```
data_RbSc3Be
_space_group_name_H-M_alt 'P 1'
_space_group_IT_number 1
_space_group_name_Hall 'P 1'
_cell_length_a 4.990
_cell_length_b 4.990
_cell_length_c 4.990
_cell_angle_alpha 90.00
_cell_angle_beta 90.00
_cell_angle_gamma 90.00
loop_
_atom_site_label
_atom_site_type_symbol
_atom_site_fract_x
_atom_site_fract_y
_atom_site_fract_z
Sc1 Sc 0.000 0.500 0.000
Sc2 Sc 0.500 0.000 0.000
Sc3 Sc 0.000 0.000 0.500
Rb1 Rb 0.000 0.000 0.000
Be1 Be 0.500 0.500 0.500
```

Summary:
The space-group type is No. 221.


arrangement one is favored, and the nearest alternative lies 1250 meV/atom above it.


Arrangement one

A geometry-optimized RbBeSe3 structure. Source: Alexandria, functional PBE.

The structure in CIF format:
```
data_RbBeSe3
_space_group_name_H-M_alt 'P 1'
_space_group_IT_number 1
_space_group_name_Hall 'P 1'
_cell_length_a 6.489
_cell_length_b 7.886
_cell_length_c 7.886
_cell_angle_alpha 130.32
_cell_angle_beta 99.41
_cell_angle_gamma 99.41
loop_
_atom_site_label
_atom_site_type_symbol
_atom_site_fract_x
_atom_site_fract_y
_atom_site_fract_z
Se1 Se 0.561 0.490 0.631
Se2 Se 0.130 0.710 0.019
Se3 Se 0.061 0.631 0.490
Se4 Se 0.978 0.084 0.932
Se5 Se 0.478 0.932 0.084
Se6 Se 0.630 0.019 0.710
Rb1 Rb 0.514 0.484 0.151
Rb2 Rb 0.014 0.151 0.484
Be1 Be 0.915 0.699 0.758
Be2 Be 0.415 0.758 0.699
```

Summary:
The space-group type is No. 9.


Arrangement two

A geometry-optimized RbBeSe3 structure. Source: Alexandria, functional PBE.

The structure in CIF format:
```
data_RbBeSe3
_space_group_name_H-M_alt 'P 1'
_space_group_IT_number 1
_space_group_name_Hall 'P 1'
_cell_length_a 4.881
_cell_length_b 4.881
_cell_length_c 4.881
_cell_angle_alpha 90.00
_cell_angle_beta 90.00
_cell_angle_gamma 90.00
loop_
_atom_site_label
_atom_site_type_symbol
_atom_site_fract_x
_atom_site_fract_y
_atom_site_fract_z
Se1 Se 0.500 0.000 0.000
Se2 Se 0.000 0.500 0.000
Se3 Se 0.000 0.000 0.500
Be1 Be 0.000 0.000 0.000
Rb1 Rb 0.500 0.500 0.500
```

Summary:
The space-group type is No. 221.


arrangement one is favored, and the nearest alternative lies 463 meV/atom above it.


Arrangement one

A geometry-optimized Rb2BeSe structure. Source: Alexandria, functional PBE.

The structure in CIF format:
```
data_Rb2BeSe
_space_group_name_H-M_alt 'P 1'
_space_group_IT_number 1
_space_group_name_Hall 'P 1'
_cell_length_a 5.829
_cell_length_b 5.829
_cell_length_c 5.829
_cell_angle_alpha 60.00
_cell_angle_beta 60.00
_cell_angle_gamma 60.00
loop_
_atom_site_label
_atom_site_type_symbol
_atom_site_fract_x
_atom_site_fract_y
_atom_site_fract_z
Se1 Se 0.500 0.500 0.500
Rb1 Rb 0.750 0.750 0.750
Rb2 Rb 0.250 0.250 0.250
Be1 Be 0.000 0.000 0.000
```

Summary:
The space-group type is No. 225.


Arrangement two

A geometry-optimized Rb2BeSe structure. Source: Alexandria, functional PBE.

The structure in CIF format:
```
data_Rb2BeSe
_space_group_name_H-M_alt 'P 1'
_space_group_IT_number 1
_space_group_name_Hall 'P 1'
_cell_length_a 6.285
_cell_length_b 6.285
_cell_length_c 11.113
_cell_angle_alpha 73.58
_cell_angle_beta 73.58
_cell_angle_gamma 90.00
loop_
_atom_site_label
_atom_site_type_symbol
_atom_site_fract_x
_atom_site_fract_y
_atom_site_fract_z
Rb1 Rb 0.375 0.342 0.750
Rb2 Rb 0.092 0.625 0.250
Rb3 Rb 0.658 0.125 0.250
Rb4 Rb 0.875 0.908 0.750
Be1 Be 0.500 0.500 0.000
Be2 Be 0.250 0.750 0.500
Se1 Se 0.750 0.250 0.500
Se2 Se 0.000 0.000 0.000
```

Summary:
The space-group type is No. 122.


arrangement one is favored, and the nearest alternative lies 273 meV/atom above it.


Arrangement one

A geometry-optimized Rb2BeSi structure. Source: Alexandria, functional PBE.

The structure in CIF format:
```
data_Rb2BeSi
_space_group_name_H-M_alt 'P 1'
_space_group_IT_number 1
_space_group_name_Hall 'P 1'
_cell_length_a 13.097
_cell_length_b 13.097
_cell_length_c 9.493
_cell_angle_alpha 46.38
_cell_angle_beta 46.38
_cell_angle_gamma 90.00
loop_
_atom_site_label
_atom_site_type_symbol
_atom_site_fract_x
_atom_site_fract_y
_atom_site_fract_z
Si1 Si 0.000 0.000 0.000
Si2 Si 0.750 0.250 0.500
Be1 Be 0.500 0.500 0.000
Be2 Be 0.250 0.750 0.500
Rb1 Rb 0.339 0.625 0.250
Rb2 Rb 0.875 0.661 0.750
Rb3 Rb 0.375 0.589 0.750
Rb4 Rb 0.411 0.125 0.250
```

Summary:
The space-group type is No. 122.


Arrangement two

A geometry-optimized Rb2BeSi structure. Source: Alexandria, functional PBE.

The structure in CIF format:
```
data_Rb2BeSi
_space_group_name_H-M_alt 'P 1'
_space_group_IT_number 1
_space_group_name_Hall 'P 1'
_cell_length_a 5.979
_cell_length_b 5.979
_cell_length_c 5.979
_cell_angle_alpha 60.00
_cell_angle_beta 60.00
_cell_angle_gamma 60.00
loop_
_atom_site_label
_atom_site_type_symbol
_atom_site_fract_x
_atom_site_fract_y
_atom_site_fract_z
Rb1 Rb 0.750 0.750 0.750
Rb2 Rb 0.250 0.250 0.250
Si1 Si 0.500 0.500 0.500
Be1 Be 0.000 0.000 0.000
```

Summary:
The space-group type is No. 225.


arrangement one is favored, and the nearest alternative lies 771 meV/atom above it.


Arrangement one

A geometry-optimized Rb2BeSn2 structure. Source: Alexandria, functional PBE.

The structure in CIF format:
```
data_Rb2BeSn2
_space_group_name_H-M_alt 'P 1'
_space_group_IT_number 1
_space_group_name_Hall 'P 1'
_cell_length_a 10.952
_cell_length_b 10.952
_cell_length_c 3.464
_cell_angle_alpha 90.00
_cell_angle_beta 90.00
_cell_angle_gamma 90.00
loop_
_atom_site_label
_atom_site_type_symbol
_atom_site_fract_x
_atom_site_fract_y
_atom_site_fract_z
Be1 Be 0.000 0.000 0.000
Be2 Be 0.500 0.500 0.000
Sn1 Sn 0.590 0.910 0.500
Sn2 Sn 0.410 0.090 0.500
Sn3 Sn 0.090 0.590 0.500
Sn4 Sn 0.910 0.410 0.500
Rb1 Rb 0.204 0.296 0.000
Rb2 Rb 0.796 0.704 0.000
Rb3 Rb 0.704 0.204 0.000
Rb4 Rb 0.296 0.796 0.000
```

Summary:
The space-group type is No. 127.


Arrangement two

A geometry-optimized Rb2BeSn2 structure. Source: Alexandria, functional PBE.

The structure in CIF format:
```
data_Rb2BeSn2
_space_group_name_H-M_alt 'P 1'
_space_group_IT_number 1
_space_group_name_Hall 'P 1'
_cell_length_a 4.257
_cell_length_b 4.257
_cell_length_c 11.663
_cell_angle_alpha 79.48
_cell_angle_beta 79.48
_cell_angle_gamma 90.00
loop_
_atom_site_label
_atom_site_type_symbol
_atom_site_fract_x
_atom_site_fract_y
_atom_site_fract_z
Sn1 Sn 0.750 0.250 0.500
Sn2 Sn 0.250 0.750 0.500
Rb1 Rb 0.599 0.599 0.802
Rb2 Rb 0.401 0.401 0.198
Be1 Be 0.000 0.000 0.000
```

Summary:
The space-group type is No. 139.


arrangement two is favored, and the nearest alternative lies 96 meV/atom above it.